The following is a PBE+U calculation of crystalline CsNiO2 at its relaxed geometry, from Alexandria via LeMat-Bulk.

a b c (Å): 7.205 7.205 7.205
angles (deg): 26.87 26.87 26.87
Last column: magnetic moment on the atom in μB.
Atoms (fractional coordinates):
O 0.878 0.878 0.878  -0.29
O 0.122 0.122 0.122  -0.29
Ni 0.500 0.500 0.500  1.68
Cs 0.000 0.000 0.000  -0.03

symmetry: R-3m, No. 166
density of states at the Fermi level: 0.61 states/eV/atom
ρ: 5.51 g cm⁻³
total DFT energy (no corrections): -3.781 eV per atom